[1]
Below is Sm3Er8Pu after structural relaxation, with properties calculated at the GGA-PBE level.

abc: 8.3086 8.3086 8.3086
angles: 117.48 117.48 94.42
With the nearest neighbours (Å) after each atom.
Atoms (fractional coordinates):
Sm1 0.0000 0.0000 0.0000  8 Er 3.31-3.39
Sm2 0.2500 0.7500 0.5000  4 Er 3.41
Sm3 0.7500 0.2500 0.5000  4 Er 3.41
Er1 0.1419 0.3938 0.0000  1 Pu 3.04, 3 Er 3.07-3.25, 1 Sm 3.39
Er2 0.2369 0.2369 0.5401  1 Pu 2.83
Er3 0.3031 0.7631 0.0000  1 Pu 2.83
Er4 0.3938 0.1419 0.0000  1 Pu 3.04, 3 Er 3.07-3.25, 1 Sm 3.39
Er5 0.6062 0.6062 0.7481  1 Pu 3.04, 3 Er 3.07-3.25, 1 Sm 3.39
Er6 0.6969 0.6969 0.4599  1 Pu 2.83
Er7 0.7631 0.3031 0.0000  1 Pu 2.83
Er8 0.8581 0.8581 0.2519  1 Pu 3.04, 3 Er 3.07-3.25, 1 Sm 3.39
Pu1 0.5000 0.5000 0.0000  8 Er 2.83-3.04


[2]
Below is GdScCoPd after structural relaxation, with properties calculated at the GGA-PBE level.

abc: 4.7393 4.7393 4.7393
angles: 60.00 60.00 60.00
With the nearest neighbours (Å) after each atom.
Atoms (fractional coordinates):
Gd1 0.0000 0.0000 0.0000  4 Co 2.90, 4 Pd 2.90
Sc1 0.5000 0.5000 0.5000  4 Co 2.90, 4 Pd 2.90
Co1 0.7500 0.7500 0.7500  4 Gd 2.90, 4 Sc 2.90
Pd1 0.2500 0.2500 0.2500  4 Gd 2.90, 4 Sc 2.90


[3]
Below is Ca2AgBPd after structural relaxation, with properties calculated at the GGA-PBE level.

abc: 5.5129 5.5129 4.9124
angles: 90.00 90.00 90.00
With the nearest neighbours (Å) after each atom.
Atoms (fractional coordinates):
Ca1 0.0000 0.5000 0.0000  2 Ag 2.76
Ca2 0.5000 0.0000 0.0000  2 Ag 2.76
Ag1 0.0000 0.0000 0.0000  2 Pd 2.46
B1 0.5000 0.5000 0.5000  8 Ca 3.69, 4 Pd 3.90
Pd1 0.0000 0.0000 0.5000  2 Ag 2.46


[4]
Below is Y5Se after structural relaxation, with properties calculated at the GGA-PBE level.

abc: 6.5010 6.5010 6.5010
angles: 60.00 60.00 60.00
With the nearest neighbours (Å) after each atom.
Atoms (fractional coordinates):
Y1 0.0000 0.0000 0.0000  12 Y 3.81, 4 Se 3.98
Y2 0.1208 0.6264 0.6264  6 Y 3.21-3.29
Y3 0.6264 0.1208 0.6264  6 Y 3.21-3.29
Y4 0.6264 0.6264 0.1208  6 Y 3.21-3.29
Y5 0.6264 0.6264 0.6264  6 Y 3.21-3.29
Se1 0.2500 0.2500 0.2500  16 Y 3.82-3.98

Computed properties:
Energy relative to the lowest polymorph listed for this composition in meV/atom: 711.8
Formation energy (no corrections) in kJ/mol of atoms: 22.3


[5]
Below is Mg3Ge2Pd after structural relaxation, with properties calculated at the GGA-PBE level.

abc: 7.9828 7.9828 3.2852
angles: 90.00 90.00 147.94
With the nearest neighbours (Å) after each atom.
Atoms (fractional coordinates):
Mg1 0.0000 0.0000 0.0000  4 Pd 2.75, 4 Ge 3.06
Mg2 0.1797 0.8203 0.5000  4 Ge 2.82, 2 Mg 3.08
Mg3 0.8203 0.1797 0.5000  4 Ge 2.82, 2 Mg 3.08
Ge1 0.3619 0.6381 0.0000  2 Pd 2.68, 4 Mg 2.82
Ge2 0.6381 0.3619 0.0000  2 Pd 2.68, 4 Mg 2.82
Pd1 0.5000 0.5000 0.5000  4 Ge 2.68, 4 Mg 2.75


[6]
Below is NaDyTlPt after structural relaxation, with properties calculated at the GGA-PBE level.

abc: 4.9456 4.9456 4.9456
angles: 60.00 60.00 60.00
With the nearest neighbours (Å) after each atom.
Atoms (fractional coordinates):
Na1 0.0000 0.0000 0.0000  4 Tl 3.03, 4 Dy 3.03
Dy1 0.2500 0.2500 0.2500  4 Na 3.03, 4 Pt 3.03
Tl1 0.7500 0.7500 0.7500  4 Pt 3.03, 4 Na 3.03
Pt1 0.5000 0.5000 0.5000  4 Tl 3.03, 4 Dy 3.03


The total energy results, record by record, are as follows: -4.826, -8.652, -2.801, -5.736, -3.502, -4.014 eV/atom.